Below is an optimized crystal structure of La3TbEr7, with properties calculated at the PBE level.

* formation energy: 0.159 eV/atom
* crystal system: triclinic
* relative energy among the computed polymorphs: 0.000 eV/atom
* space-group type: No. 2
* volume: 366 Å³/cell

abc: 8.897 10.181 5.520
angles: 90.02 128.29 106.55
Fractional coordinates of all 11 atoms:
La 0.213 0.996 0.714
La 0.787 0.004 0.286
Er 0.904 0.829 0.904
La 0.000 0.500 0.000
Er 0.643 0.289 0.143
Tb 0.500 0.500 0.500
Er 0.096 0.171 0.096
Er 0.189 0.365 0.689
Er 0.357 0.711 0.857
Er 0.500 0.000 0.500
Er 0.811 0.635 0.311